# PBE+U CsCrIn2F6, relaxed
data_CsCrIn2F6
_chemical_formula_sum 'Cs2 Cr2 In4 F12'
_cell_length_a 6.078
_cell_length_b 7.439
_cell_length_c 9.151
_cell_angle_alpha 90.00
_cell_angle_beta 89.64
_cell_angle_gamma 90.00
_space_group_name_H-M_alt 'P 1'
_space_group_IT_number 1
loop_
_space_group_symop_operation_xyz
'x,y,z'
loop_
_atom_site_label
_atom_site_type_symbol
_atom_site_fract_x
_atom_site_fract_y
_atom_site_fract_z
F1 F 0.244 0.151 0.453
In1 In 0.497 0.444 0.763
F2 F 0.526 0.121 0.689
F3 F 0.026 0.379 0.189
Cr1 Cr 0.500 0.000 0.500
F4 F 0.974 0.621 0.811
F5 F 0.256 0.651 0.047
F6 F 0.708 0.173 0.414
F7 F 0.292 0.827 0.586
Cs1 Cs 0.000 0.500 0.500
In2 In 0.003 0.944 0.737
F8 F 0.792 0.673 0.086
F9 F 0.744 0.349 0.953
F10 F 0.474 0.879 0.311
Cr2 Cr 0.000 0.500 0.000
In3 In 0.503 0.556 0.237
In4 In 0.997 0.056 0.263
F11 F 0.756 0.849 0.547
Cs2 Cs 0.500 0.000 0.000
F12 F 0.208 0.327 0.914
# magnetization = 3.0 μB per formula unit
# space-group type = P2_1/c (14)
# DOS(E_F) = 0.000 states/eV/atom
# mass density = 4.24 g/cm³
# total DFT energy (no corrections) = -4.864 eV per atom